4
Lattice="0.000 3.490 3.490 3.490 0.000 3.490 3.490 3.490 0.000" Properties=species:S:1:pos:R:3 comment="SrCdP2 (GGA-PBEsol, optimized geometry)" total_energy_ev_per_atom=-3.5702 delta_e_f_kj_per_mol_fu=33 pbc="T T T"
Sr 0.000 0.000 0.000
Cd 1.745 1.745 1.745
P 3.490 3.490 3.490
P 5.236 5.236 5.236